Compound: LaAg2PRh
Source: the Alexandria database
Functional: GGA-PBE
Structure: relaxed

Calculated values
crystal system: tetragonal
formation energy: 1.251 eV per atom

Cell lengths 5.570, 5.570, 4.771 Å; angles 90.00, 90.00, 90.00 degrees
Element x y z (fractional)
La (0.000, 0.000, 0.000)
Ag (0.000, 0.500, 0.000)
Ag (0.500, 0.000, 0.000)
P (0.500, 0.500, 0.500)
Rh (0.000, 0.000, 0.500)

Compound: LaAg2PS
Source: the Alexandria database
Functional: GGA-PBE
Structure: relaxed

Calculated values
ΔE_f (raw): 1150 meV per atom
crystal system: tetragonal

Cell lengths 5.877, 5.877, 5.313 Å; angles 90.00, 90.00, 90.00 degrees
Element x y z (fractional)
La (0.000, 0.000, 0.000)
Ag (0.000, 0.500, 0.000)
Ag (0.500, 0.000, 0.000)
P (0.000, 0.000, 0.500)
S (0.500, 0.500, 0.500)